Compound: NaNiSb2
Source: Alexandria via LeMat-Bulk
Functional: GGA-PBE
Structure: optimized geometry

abc: 4.0231 4.0231 20.8255
angles: 90.00 90.00 120.00
Space group R-3m (No. 166, hexagonal axes)
Inequivalent atoms, fractional coordinates:
Na 0.0000 0.0000 0.0000
Ni 0.0000 0.0000 0.5000
Sb 0.0000 0.0000 0.2213

Results
E_form (uncorrected) = -250 meV/atom
Relative energy among the computed polymorphs = 1.26 kJ per mole of atoms
Fermi-level density of states = 3.06 states/eV/cell

Compound: Ce5GaSb4
Source: Alexandria via LeMat-Bulk
Functional: GGA-PBE
Structure: optimized geometry

abc: 9.9468 9.9468 6.2972
angles: 90.00 90.00 90.00
Space group I4/m (No. 87)
Inequivalent atoms, fractional coordinates:
Ce 0.0000 0.0000 0.0000
Ce 0.0999 0.7064 0.5000
Ga 0.0000 0.0000 0.5000
Sb 0.0962 0.6978 0.0000

Results
E_form (uncorrected) = -852 meV/atom
Fermi-level density of states = 53.50 states/eV/cell

Compound: In2SnGe
Source: Alexandria via LeMat-Bulk
Functional: GGA-PBE
Structure: optimized geometry

abc: 4.5664 4.5664 18.1958
angles: 90.00 90.00 120.00
Space group R3m (No. 160, hexagonal axes)
Inequivalent atoms, fractional coordinates:
In 0.0000 0.0000 0.0000
In 0.0000 0.0000 0.1883
Sn 0.0000 0.0000 0.4288
Ge 0.0000 0.0000 0.5946

Results
E_form = 11.9 kJ per mole of atoms
Fermi-level density of states = 5.61 states/eV/cell

Compound: CaTlNiPd
Source: Alexandria via LeMat-Bulk
Functional: GGA-PBE
Structure: optimized geometry

abc: 6.7366 6.7366 6.7366
angles: 90.00 90.00 90.00
Space group F-43m (No. 216)
Inequivalent atoms, fractional coordinates:
Ca 0.0000 0.0000 0.0000
Tl 0.0000 0.0000 0.5000
Ni 0.2500 0.2500 0.7500
Pd 0.2500 0.2500 0.2500

Results
E_form = -20.4 kJ per mole of atoms
Fermi-level density of states = 8.64 states/eV/cell

Compound: HfTi4In
Source: Alexandria via LeMat-Bulk
Functional: GGA-PBE
Structure: optimized geometry

abc: 6.2903 4.8300 7.6083
angles: 90.00 90.00 90.00
Space group Pmma (No. 51)
Inequivalent atoms, fractional coordinates:
Hf 0.2500 0.0000 0.1804
Ti 0.0000 0.0000 0.5000
Ti 0.0082 0.5000 0.8104
Ti 0.2500 0.5000 0.4711
In 0.2500 0.0000 0.8013

Results
Relative energy among the computed polymorphs = 14.60 kJ per mole of atoms
E_form = 13.7 kJ per mole of atoms
Fermi-level density of states = 18.88 states/eV/cell

Compound: Er3MgRu
Source: Alexandria via LeMat-Bulk
Functional: GGA-PBE
Structure: optimized geometry

abc: 9.4947 3.3551 7.9528
angles: 90.00 90.00 90.00
Space group Pmma (No. 51)
Inequivalent atoms, fractional coordinates:
Er 0.0430 0.0000 0.2130
Er 0.2500 0.0000 0.5506
Mg 0.2500 0.5000 0.9213
Ru 0.0000 0.5000 0.5000

Results
Relative energy among the computed polymorphs = 0.00 kJ per mole of atoms
E_form = -21.6 kJ per mole of atoms
Fermi-level density of states = 8.73 states/eV/cell

Compound: ZrScCdHg
Source: Alexandria via LeMat-Bulk
Functional: GGA-PBE
Structure: optimized geometry

abc: 7.0510 7.0510 7.0510
angles: 90.00 90.00 90.00
Space group F-43m (No. 216)
Inequivalent atoms, fractional coordinates:
Zr 0.0000 0.0000 0.0000
Sc 0.0000 0.0000 0.5000
Cd 0.2500 0.2500 0.2500
Hg 0.2500 0.2500 0.7500

Results
Relative energy among the computed polymorphs = 0.30 kJ per mole of atoms
E_form = -19.4 kJ per mole of atoms
Fermi-level density of states = 16.15 states/eV/cell

Compound: BiPPd
Source: Alexandria via LeMat-Bulk
Functional: GGA-PBE
Structure: optimized geometry

abc: 4.1618 4.1618 4.1966
angles: 90.00 90.00 120.00
Space group P3m1 (No. 156)
Inequivalent atoms, fractional coordinates:
Bi 0.0000 0.0000 0.0000
P 0.6667 0.3333 0.5257
Pd 0.3333 0.6667 0.5928

Results
Relative energy among the computed polymorphs = 0.00 kJ per mole of atoms
E_form = -15.0 kJ per mole of atoms
Fermi-level density of states = 0.88 states/eV/cell

Compound: KFe4Ru
Source: Alexandria via LeMat-Bulk
Functional: GGA-PBE
Structure: optimized geometry

abc: 7.1391 7.1391 7.1391
angles: 90.00 90.00 90.00
Space group F-43m (No. 216)
Inequivalent atoms, fractional coordinates:
K 0.0000 0.0000 0.0000
Fe 0.1239 0.1239 0.3761
Ru 0.2500 0.2500 0.7500

Results
E_form = 86.3 kJ per mole of atoms
Fermi-level density of states = 37.02 states/eV/cell

Compound: Sr2AlZnPd
Source: Alexandria via LeMat-Bulk
Functional: GGA-PBE
Structure: optimized geometry

abc: 6.0633 6.0633 4.5814
angles: 90.00 90.00 90.00
Space group P4/mmm (No. 123)
Inequivalent atoms, fractional coordinates:
Sr 0.0000 0.5000 0.0000
Al 0.0000 0.0000 0.0000
Zn 0.0000 0.0000 0.5000
Pd 0.5000 0.5000 0.5000

Results
E_form = 19.9 kJ per mole of atoms
Fermi-level density of states = 4.06 states/eV/cell

Compound: RbNb3In
Source: Alexandria via LeMat-Bulk
Functional: GGA-PBE
Structure: optimized geometry

abc: 4.8277 4.8277 4.8277
angles: 90.00 90.00 90.00
Space group Pm-3m (No. 221)
Inequivalent atoms, fractional coordinates:
Rb 0.0000 0.0000 0.0000
Nb 0.0000 0.0000 0.5000
In 0.5000 0.5000 0.5000

Results
Relative energy among the computed polymorphs = 42.03 kJ per mole of atoms
E_form = 239.2 kJ per mole of atoms
Fermi-level density of states = 5.53 states/eV/cell

Please write out number 5 again, unchanged.
Compound: HfTi4In
Source: Alexandria via LeMat-Bulk
Functional: GGA-PBE
Structure: optimized geometry

abc: 6.2903 4.8300 7.6083
angles: 90.00 90.00 90.00
Space group Pmma (No. 51)
Inequivalent atoms, fractional coordinates:
Hf 0.2500 0.0000 0.1804
Ti 0.0000 0.0000 0.5000
Ti 0.0082 0.5000 0.8104
Ti 0.2500 0.5000 0.4711
In 0.2500 0.0000 0.8013

Results
Relative energy among the computed polymorphs = 14.60 kJ per mole of atoms
E_form = 13.7 kJ per mole of atoms
Fermi-level density of states = 18.88 states/eV/cell